1.
PBE CaZnNF2, relaxed; raw formation energy = -1035 meV/atom; raw total energy = -4.104 eV per atom; space group = P4/mmm, No. 123; magnetic moment = 0.275 μB/atom; offset from the most stable computed form = 214.6 kJ/mol of formula units
1.0
4.238 0.000 0.000
0.000 4.238 0.000
0.000 0.000 4.998
Zn N Ca F
1 1 1 2
direct
0.500 0.500 0.500
0.000 0.000 0.500
0.000 0.000 0.000
0.000 0.500 0.000
0.500 0.000 0.000

2.
PBE Tm2PaAl9, relaxed; raw total energy = -4.706 eV per atom; space group = P4/mmm, No. 123; magnetic moment = 0.000 μB/atom; ΔH_f (0 K) = -363 meV per atom
1.0
-0.515 -0.021 4.224
2.154 -3.662 0.244
10.898 6.502 1.360
Tm Pa Al
2 1 9
direct
0.000 0.000 0.335
0.000 0.000 0.665
0.000 0.000 0.000
0.500 0.500 0.000
0.500 0.500 0.335
0.500 0.500 0.665
0.500 0.000 0.169
0.500 0.000 0.500
0.500 0.000 0.831
0.000 0.500 0.169
0.000 0.500 0.500
0.000 0.500 0.831

3.
PBE Pm4AlCu, relaxed; raw total energy = -4.620 eV per atom; space group = P2_1/m, No. 11; magnetic moment = 0.000 μB/atom; offset from the most stable computed form = 0.0 kJ/mol of formula units; ΔH_f (0 K) = -146 meV per atom
1.0
-4.881 1.823 1.160
-2.884 -5.375 -3.691
3.577 -6.250 6.306
Pm Al Cu
8 2 2
direct
0.608 0.250 0.450
0.392 0.750 0.550
0.667 0.250 0.876
0.333 0.750 0.124
0.907 0.020 0.227
0.093 0.520 0.773
0.907 0.480 0.227
0.093 0.980 0.773
0.317 0.250 0.085
0.683 0.750 0.915
0.197 0.250 0.555
0.803 0.750 0.445

4.
PBE Zr2HPb2, relaxed; raw total energy = -5.601 eV per atom; space group = P4/mbm, No. 127; magnetic moment = 0.000 μB/atom; offset from the most stable computed form = 65.0 kJ/mol of formula units
1.0
6.394 0.000 0.000
0.000 6.394 0.000
0.000 0.000 5.114
Pb H Zr
4 2 4
direct
0.170 0.670 0.500
0.670 0.830 0.500
0.830 0.330 0.500
0.330 0.170 0.500
0.000 0.000 0.000
0.500 0.500 0.000
0.336 0.836 0.000
0.836 0.664 0.000
0.664 0.164 0.000
0.164 0.336 0.000

5.
PBE SrAlAgO3, relaxed; raw formation energy = -1892 meV/atom; raw total energy = -5.750 eV per atom; space group = C2/m, No. 12; magnetic moment = 0.000 μB/atom
1.0
-1.425 5.569 0.447
-3.712 1.045 4.286
2.944 2.992 5.280
Sr Al Ag O
2 2 2 6
direct
0.698 0.698 0.845
0.302 0.302 0.155
0.064 0.064 0.758
0.936 0.936 0.242
0.286 0.714 0.500
0.714 0.286 0.500
0.256 0.256 0.567
0.162 0.720 0.852
0.720 0.162 0.852
0.280 0.838 0.148
0.838 0.280 0.148
0.744 0.744 0.433

6.
PBE InMo2Cl, relaxed; raw formation energy = 648 meV/atom; raw total energy = -5.914 eV per atom; space group = Pmmm, No. 47; magnetic moment = 0.051 μB/atom; offset from the most stable computed form = 203.1 kJ/mol of formula units
1.0
-0.617 -2.811 -0.169
0.479 -0.409 5.057
-4.784 1.018 0.536
Cl In Mo
1 1 2
direct
0.500 0.000 0.500
0.000 0.500 0.500
0.000 0.000 0.000
0.500 0.500 0.000

7.
PBE NpPaTe6, relaxed; raw formation energy = -606 meV/atom; raw total energy = -5.767 eV per atom; space group = Amm2, No. 38; magnetic moment = 0.606 μB/atom
1.0
4.341 0.000 -0.746
0.000 4.408 0.000
0.021 0.000 13.127
Np Pa Te
1 1 6
direct
0.830 0.000 0.661
0.170 0.500 0.340
0.580 0.500 0.159
0.421 0.000 0.842
0.294 0.500 0.588
0.704 0.000 0.409
0.921 0.500 0.842
0.080 0.000 0.159

8.
PBE LaY3Rh, relaxed; raw total energy = -6.608 eV per atom; space group = Pm-3m, No. 221; magnetic moment = 0.000 μB/atom; offset from the most stable computed form = 0.0 kJ/mol of formula units; ΔH_f (0 K) = -273 meV per atom
1.0
5.463 0.000 0.000
0.000 5.463 0.000
0.000 0.000 5.463
Y Rh La
3 1 1
direct
0.000 0.500 0.000
0.000 0.000 0.500
0.500 0.000 0.000
0.000 0.000 0.000
0.500 0.500 0.500

9.
PBE BaLiHO, relaxed; raw total energy = -4.516 eV per atom; space group = P4/nmm, No. 129; magnetic moment = 0.000 μB/atom
1.0
-0.836 -2.295 -3.089
2.552 -2.697 1.313
-5.687 -3.402 4.066
Ba Li H O
2 2 2 2
direct
0.000 0.500 0.820
0.500 0.000 0.180
0.000 0.500 0.406
0.500 0.000 0.594
0.000 0.000 0.500
0.500 0.500 0.500
0.500 0.000 0.841
0.000 0.500 0.159

10.
PBE KAc2Sc3S8, relaxed; raw formation energy = -1828 meV/atom; raw total energy = -6.208 eV per atom; space group = R3m, No. 160; magnetic moment = 0.000 μB/atom
1.0
-3.243 -3.748 -6.316
-1.734 -7.827 0.433
-8.076 -2.306 0.412
K Ac Sc S
1 2 3 8
direct
0.868 0.868 0.396
0.127 0.127 0.619
0.503 0.503 0.492
0.506 0.982 0.007
0.982 0.506 0.007
0.506 0.506 0.007
0.267 0.267 0.200
0.729 0.729 0.813
0.251 0.251 0.794
0.704 0.251 0.794
0.251 0.704 0.794
0.750 0.301 0.200
0.301 0.750 0.200
0.750 0.750 0.200

11.
PBE MoP2Au, relaxed; raw total energy = -6.058 eV per atom; space group = R3m, No. 160; magnetic moment = 0.000 μB/atom; offset from the most stable computed form = 79.9 kJ/mol of formula units; ΔH_f (0 K) = 174 meV per atom
1.0
-3.490 2.901 -6.175
-4.596 -0.022 -6.132
-5.922 2.176 -4.350
Au Mo P
1 1 2
direct
0.508 0.508 0.508
0.738 0.738 0.738
0.998 0.998 0.998
0.255 0.255 0.255

12.
PBE LaNbRh3, relaxed; raw total energy = -7.391 eV per atom; space group = Pm-3m, No. 221; magnetic moment = 0.000 μB/atom; offset from the most stable computed form = 0.0 kJ/mol of formula units; ΔH_f (0 K) = 19 meV per atom
1.0
4.805 0.000 0.000
0.000 4.805 0.000
0.000 0.000 4.805
Nb Rh La
1 3 1
direct
0.000 0.000 0.000
0.000 0.500 0.000
0.000 0.000 0.500
0.500 0.000 0.000
0.500 0.500 0.500